Entry 1:
# GeSeBr2 | the Alexandria database | PBE-GGA | optimized geometry
# ΔE to the lowest computed polymorph: 17.4 meV per atom
# ΔE_f (raw): -459 meV per atom
# mass density: 3.48 g/cm³
data_GeSeBr2
_cell_length_a 12.9298
_cell_length_b 6.3660
_cell_length_c 3.7473
_cell_angle_alpha 90.00
_cell_angle_beta 105.47
_cell_angle_gamma 90.00
_symmetry_space_group_name_H-M 'C 1 2 1'
_symmetry_Int_Tables_number 5
loop_
_symmetry_equiv_pos_as_xyz
'x,y,z'
'-x,y,-z'
'x+1/2,y+1/2,z'
'-x+1/2,y+1/2,-z'
loop_
_atom_site_label
_atom_site_type_symbol
_atom_site_fract_x
_atom_site_fract_y
_atom_site_fract_z
_atom_site_occupancy
Ge1 Ge 0.0000 0.0000 0.0000 1
Se1 Se 0.0000 0.7625 0.5000 1
Br1 Br 0.1496 0.2168 0.1382 1


Entry 2:
# Na2LaPt2 | the Alexandria database | PBE-GGA | optimized geometry
# ΔE to the lowest computed polymorph: 143.2 meV per atom
# formation enthalpy at 0 K: -9.3 kcal/mol of atoms
# mass density: 7.62 g/cm³
data_Na2LaPt2
_cell_length_a 7.2440
_cell_length_b 7.2440
_cell_length_c 4.7772
_cell_angle_alpha 90.00
_cell_angle_beta 90.00
_cell_angle_gamma 90.00
_symmetry_space_group_name_H-M 'P 4/m b m'
_symmetry_Int_Tables_number 127
_symmetry_space_group_name_Hall '-P 4 2ab'
loop_
_atom_site_label
_atom_site_type_symbol
_atom_site_fract_x
_atom_site_fract_y
_atom_site_fract_z
_atom_site_occupancy
Na1 Na 0.1525 0.3475 0.0000 1
La1 La 0.0000 0.0000 0.5000 1
Pt1 Pt 0.1297 0.6297 0.5000 1